This record from Alexandria describes a geometry-optimized PrSm2Au structure. The functional is PBE-GGA.

Lattice parameters (Å, degrees): 3.764 3.764 10.532 79.71 79.71 60.00
Element x y z (fractional)
1 Sm 0.264 0.264 0.208
2 Sm 0.736 0.736 0.792
3 Au 0.000 0.000 0.000
4 Pr 0.500 0.500 0.500

Output
Energy of formation from the pure elements in eV/atom: -0.260
E above lowest polymorph in meV per atom: 145
Symmetry: No. 166
DOS at the Fermi energy in states/eV/cell: 5.4
Calculated volume in A^3/atom: 31.6

This record from Alexandria describes a geometry-optimized PrSmAu structure. The functional is PBE-GGA.

Lattice parameters (Å, degrees): 3.975 4.998 4.998 120.00 90.00 90.00
Element x y z (fractional)
1 Au 0.022 0.000 0.000
2 Pr 0.713 0.667 0.333
3 Sm 0.265 0.333 0.667

Output
Energy of formation from the pure elements in eV/atom: -0.374
E above lowest polymorph in meV per atom: 150
Symmetry: No. 156
DOS at the Fermi energy in states/eV/cell: 2.2
Calculated volume in A^3/atom: 28.7

This record from Alexandria describes a geometry-optimized Pr3SmAu4 structure. The functional is PBE-GGA.

Lattice parameters (Å, degrees): 5.251 5.253 8.378 108.27 108.26 90.00
Element x y z (fractional)
1 Au 0.878 0.878 0.756
2 Au 0.378 0.378 0.756
3 Au 0.622 0.622 0.244
4 Au 0.122 0.122 0.244
5 Pr 0.000 0.500 0.000
6 Pr 0.251 0.751 0.503
7 Pr 0.749 0.249 0.497
8 Sm 0.500 0.000 0.000

Output
Energy of formation from the pure elements in eV/atom: -0.756
Symmetry: No. 139
DOS at the Fermi energy in states/eV/cell: 6.1
Calculated volume in A^3/atom: 25.9

This record from Alexandria describes a geometry-optimized PrSm2Au structure. The functional is PBE-GGA.

Lattice parameters (Å, degrees): 6.768 7.141 10.220 90.00 90.00 90.00
Element x y z (fractional)
1 Au 0.929 0.605 0.750
2 Au 0.571 0.105 0.750
3 Au 0.429 0.895 0.250
4 Au 0.071 0.395 0.250
5 Pr 0.632 0.508 0.250
6 Pr 0.368 0.492 0.750
7 Pr 0.132 0.992 0.750
8 Pr 0.868 0.008 0.250
9 Sm 0.676 0.811 0.947
10 Sm 0.824 0.311 0.947
11 Sm 0.324 0.189 0.053
12 Sm 0.824 0.311 0.553
13 Sm 0.176 0.689 0.053
14 Sm 0.176 0.689 0.447
15 Sm 0.676 0.811 0.553
16 Sm 0.324 0.189 0.447

Output
Energy of formation from the pure elements in eV/atom: -0.400
E above lowest polymorph in meV per atom: 5
Symmetry: No. 62
DOS at the Fermi energy in states/eV/cell: 17.3
Calculated volume in A^3/atom: 30.9

This record from Alexandria describes a geometry-optimized Pr4Sm3Au4 structure. The functional is PBE-GGA.

Lattice parameters (Å, degrees): 3.876 9.377 10.183 117.42 100.97 90.00
Element x y z (fractional)
1 Au 0.742 0.242 0.484
2 Au 0.500 0.821 0.000
3 Au 0.500 0.179 0.000
4 Au 0.258 0.758 0.516
5 Pr 0.339 0.152 0.678
6 Pr 0.661 0.848 0.322
7 Pr 0.339 0.526 0.678
8 Pr 0.661 0.474 0.322
9 Sm 0.102 0.102 0.205
10 Sm 0.898 0.898 0.795
11 Sm 0.000 0.500 0.000

Output
Energy of formation from the pure elements in eV/atom: -0.499
Symmetry: No. 71
DOS at the Fermi energy in states/eV/cell: 12.6
Calculated volume in A^3/atom: 29.2

This record from Alexandria describes a geometry-optimized PrSm2Au4 structure. The functional is PBE-GGA.

Lattice parameters (Å, degrees): 5.216 5.216 6.902 90.00 90.00 90.00
Element x y z (fractional)
1 Sm 0.000 0.000 0.000
2 Sm 0.500 0.500 0.500
3 Pr 0.500 0.500 0.000
4 Au 0.500 0.000 0.254
5 Au 0.000 0.500 0.254
6 Au 0.000 0.500 0.746
7 Au 0.500 0.000 0.746

Output
Energy of formation from the pure elements in eV/atom: -0.592
Symmetry: No. 123
DOS at the Fermi energy in states/eV/cell: 5.1
Calculated volume in A^3/atom: 26.8